[1]
## Ho4Er3Tl (PBE-GGA)

Data for a relaxed Ho4Er3Tl crystal.

Summary:
crystal system = tetragonal
total magnetic moment = 0.00 μB per cell
E above lowest polymorph = 0 meV per atom

Unit cell a=3.540 b=3.540 c=19.166 alpha=90.00 beta=90.00 gamma=90.00
Atoms (fractional coordinates):
Ho: 0.000 0.000 0.112
Ho: 0.000 0.000 0.371
Ho: 0.000 0.000 0.629
Ho: 0.000 0.000 0.888
Er: 0.500 0.500 0.241
Er: 0.500 0.500 0.500
Er: 0.500 0.500 0.759
Tl: 0.500 0.500 0.000

=====

[2]
## Dy2SbN (PBE-GGA)

Data for a relaxed Dy2SbN crystal.

Summary:
crystal system = tetragonal
total magnetic moment = 0.00 μB per cell
E above lowest polymorph = 0 meV per atom
formation energy from raw total energies = -1377 meV per atom

Unit cell a=4.520 b=4.520 c=8.941 alpha=90.00 beta=90.00 gamma=90.00
Atoms (fractional coordinates):
Dy: 0.250 0.250 0.175
Dy: 0.250 0.750 0.500
Dy: 0.750 0.250 0.500
Dy: 0.750 0.750 0.825
Sb: 0.250 0.250 0.810
Sb: 0.750 0.750 0.190
N: 0.250 0.250 0.421
N: 0.750 0.750 0.579

=====

[3]
## TaTe6Pt (PBE-GGA)

Data for a relaxed TaTe6Pt crystal.

Summary:
crystal system = triclinic
total magnetic moment = 0.00 μB per cell
formation energy from raw total energies = -131 meV per atom

Unit cell a=6.751 b=6.753 c=6.764 alpha=61.25 beta=61.20 gamma=61.26
Atoms (fractional coordinates):
Ta: 0.000 0.000 0.000
Te: 0.062 0.737 0.440
Te: 0.261 0.559 0.938
Te: 0.442 0.061 0.737
Te: 0.558 0.939 0.263
Te: 0.739 0.441 0.062
Te: 0.938 0.263 0.560
Pt: 0.500 0.500 0.500

=====

[4]
## ThCdCu (PBE-GGA)

Data for a relaxed ThCdCu crystal.

Summary:
total DFT energy (no corrections) = -25.7 eV/cell
crystal system = monoclinic
total magnetic moment = 0.00 μB per cell

Unit cell a=5.606 b=5.606 c=7.173 alpha=121.47 beta=121.47 gamma=46.97
Atoms (fractional coordinates):
Th: 0.062 0.062 0.324
Th: 0.938 0.938 0.676
Cd: 0.323 0.323 0.910
Cd: 0.677 0.677 0.090
Cu: 0.355 0.355 0.330
Cu: 0.645 0.645 0.670

=====

[5]
## Li2AuCl (PBE-GGA)

Data for a relaxed Li2AuCl crystal.

Summary:
crystal system = orthorhombic
total magnetic moment = 0.00 μB per cell
E above lowest polymorph = 142 meV per atom
formation energy from raw total energies = -866 meV per atom

Unit cell a=5.474 b=5.474 c=5.474 alpha=142.92 beta=97.02 gamma=94.59
Atoms (fractional coordinates):
Li: 0.222 0.000 0.222
Li: 0.778 0.000 0.778
Au: 0.500 0.500 0.000
Cl: 0.000 0.500 0.500

=====

[6]
## Sc2SiN (PBE-GGA)

Data for a relaxed Sc2SiN crystal.

Summary:
crystal system = tetragonal
total magnetic moment = 0.00 μB per cell
formation energy from raw total energies = -830 meV per atom

Unit cell a=5.651 b=5.651 c=5.651 alpha=111.96 beta=111.96 gamma=104.61
Atoms (fractional coordinates):
Sc: 0.045 0.625 0.920
Sc: 0.375 0.295 0.420
Sc: 0.705 0.125 0.080
Sc: 0.875 0.955 0.580
Si: 0.250 0.750 0.500
Si: 0.500 0.500 0.000
N: 0.000 0.000 0.000
N: 0.750 0.250 0.500